Entry 1:
Na3U3AuSe8 | GGA-PBE | optimized geometry

The space group is C2/m (No. 12) and the conventional cell measures 13.681, 8.480 and 8.319 Å, with angles of 90.00, 122.36 and 90.00 degrees. The distinct sites, in fractional coordinates, are Na at (0.000, 0.000, 0.000), Na at (0.250, 0.250, 0.000), U at (0.000, 0.500, 0.500), U at (0.250, 0.250, 0.500), Au at (0.000, 0.000, 0.500), Se at (0.012, 0.280, 0.259), Se at (0.224, 0.000, 0.710) and Se at (0.248, 0.500, 0.736).

The value obtained for the magnetic moment is 5.98 μB/f.u. For the formation energy from raw total energies, the calculation gives -1.01 eV/atom.


Entry 2:
K2YAgI6 | GGA-PBE | optimized geometry

The space group is Fm-3m (No. 225) and the conventional cell measures 12.072, 12.072 and 12.072 Å, with angles of 90.00, 90.00 and 90.00 degrees. The distinct sites, in fractional coordinates, are K at (0.250, 0.250, 0.250), Y at (0.000, 0.000, 0.000), Ag at (0.000, 0.000, 0.500) and I at (0.000, 0.000, 0.250).

The value obtained for the magnetic moment is 0.00 μB/f.u. For the formation energy from raw total energies, the calculation gives -1.13 eV/atom. For the distance to the lowest polymorph of the same formula, the calculation gives 57 meV per atom.


Entry 3:
DyErPtRh | GGA-PBE | optimized geometry

The space group is F-43m (No. 216) and the conventional cell measures 6.888, 6.888 and 6.888 Å, with angles of 90.00, 90.00 and 90.00 degrees. The distinct sites, in fractional coordinates, are Dy at (0.000, 0.000, 0.000), Er at (0.000, 0.000, 0.500), Pt at (0.250, 0.250, 0.250) and Rh at (0.250, 0.250, 0.750).

The value obtained for the magnetic moment is 0.00 μB/f.u. For the distance to the lowest polymorph of the same formula, the calculation gives 7 meV per atom.


Entry 4:
ThMg2Zn2Ag2 | GGA-PBE | optimized geometry

The space group is R-3m (No. 166, hexagonal axes) and the conventional cell measures 4.5280, 4.5280 and 24.2802 Å, with angles of 90.00, 90.00 and 120.00 degrees. The distinct sites, in fractional coordinates, are Th at (0.0000, 0.0000, 0.0000), Mg at (0.0000, 0.0000, 0.1383), Zn at (0.0000, 0.0000, 0.2600) and Ag at (0.0000, 0.0000, 0.4307).

The calculation puts the energy at -59.53 eV for the cell shown. The value obtained for the magnetic moment is 0.00 μB/f.u.


Entry 5:
SrTcS2 | GGA-PBE | optimized geometry

The space group is R-3m (No. 166, hexagonal axes) and the conventional cell measures 3.7102, 3.7102 and 24.8639 Å, with angles of 90.00, 90.00 and 120.00 degrees. The distinct sites, in fractional coordinates, are Sr at (0.0000, 0.0000, 0.0000), Tc at (0.0000, 0.0000, 0.5000) and S at (0.0000, 0.0000, 0.1160).

The value obtained for the magnetic moment is 2.44 μB/f.u. For the formation energy from raw total energies, the calculation gives -0.35 eV/atom. For the distance to the lowest polymorph of the same formula, the calculation gives 430 meV per atom.


Entry 6:
Dy2Cu9Pd | GGA-PBE | optimized geometry

The space group is R-3m (No. 166, hexagonal axes) and the conventional cell measures 5.0962, 5.0962 and 24.1017 Å, with angles of 90.00, 90.00 and 120.00 degrees. The distinct sites, in fractional coordinates, are Dy at (0.0000, 0.0000, 0.1323), Cu at (0.0000, 0.0000, 0.3335), Cu at (0.0000, 0.0000, 0.5000), Cu at (0.0036, 0.5018, 0.9189) and Pd at (0.0000, 0.0000, 0.0000).

The calculation puts the energy at -157.95 eV for the cell shown. The value obtained for the magnetic moment is 0.00 μB/f.u.


Entry 7:
ScMn | GGA-PBE | optimized geometry

The space group is P2_13 (No. 198) and the conventional cell measures 5.247, 5.247 and 5.247 Å, with angles of 90.00, 90.00 and 90.00 degrees. The distinct sites, in fractional coordinates, are Sc at (0.093, 0.093, 0.093) and Mn at (0.101, 0.601, 0.899).

The calculation puts the energy at -60.69 eV for the cell shown. The value obtained for the magnetic moment is 2.50 μB/f.u.


Entry 8:
KIn2Bi2Pb | GGA-PBE | optimized geometry

The space group is P-3m1 (No. 164) and the conventional cell measures 5.5273, 5.5273 and 7.8025 Å, with angles of 90.00, 90.00 and 120.00 degrees. The distinct sites, in fractional coordinates, are K at (0.0000, 0.0000, 0.0000), In at (0.3333, 0.6667, 0.6684), Bi at (0.3333, 0.6667, 0.2709) and Pb at (0.0000, 0.0000, 0.5000).

The calculation puts the energy at -18.76 eV for the cell shown. The value obtained for the magnetic moment is 0.00 μB/f.u.


Entry 9:
YPa3Os2 | GGA-PBE | optimized geometry

The space group is C2/m (No. 12) and the conventional cell measures 16.054, 4.552 and 8.399 Å, with angles of 90.00, 118.01 and 90.00 degrees. The distinct sites, in fractional coordinates, are Y at (0.112, 0.000, 0.036), Pa at (0.062, 0.000, 0.411), Pa at (0.128, 0.500, 0.698), Pa at (0.210, 0.500, 0.368), Os at (0.020, 0.500, 0.197) and Os at (0.237, 0.000, 0.880).

The calculation puts the energy at -234.77 eV for the cell shown. The value obtained for the magnetic moment is 0.00 μB/f.u.


Entry 10:
AcNdGd4 | GGA-PBE | optimized geometry

The space group is F-43m (No. 216) and the conventional cell measures 9.575, 9.575 and 9.575 Å, with angles of 90.00, 90.00 and 90.00 degrees. The distinct sites, in fractional coordinates, are Ac at (0.000, 0.000, 0.000), Nd at (0.250, 0.250, 0.250) and Gd at (0.124, 0.124, 0.624).

The calculation puts the energy at -255.45 eV for the cell shown. The value obtained for the magnetic moment is 33.60 μB/f.u.


Entry 11:
CaAs2SeBr | GGA-PBE | optimized geometry

The space group is P4/mmm (No. 123) and the conventional cell measures 5.097, 5.097 and 5.406 Å, with angles of 90.00, 90.00 and 90.00 degrees. The distinct sites, in fractional coordinates, are Ca at (0.000, 0.000, 0.000), As at (0.000, 0.500, 0.500), Se at (0.500, 0.500, 0.000) and Br at (0.500, 0.500, 0.500).

The value obtained for the magnetic moment is 0.00 μB/f.u. For the formation energy from raw total energies, the calculation gives 0.32 eV/atom. For the distance to the lowest polymorph of the same formula, the calculation gives 321 meV per atom.


Entry 12:
Te2OsRh2 | GGA-PBE | optimized geometry

The space group is I4/mmm (No. 139) and the conventional cell measures 4.321, 4.321 and 11.060 Å, with angles of 90.00, 90.00 and 90.00 degrees. The distinct sites, in fractional coordinates, are Te at (0.000, 0.500, 0.250), Os at (0.000, 0.000, 0.000) and Rh at (0.000, 0.000, 0.386).

The value obtained for the magnetic moment is 2.11 μB/f.u. For the formation energy from raw total energies, the calculation gives 1.03 eV/atom. For the distance to the lowest polymorph of the same formula, the calculation gives 556 meV per atom.


Entry 13:
LiSn2Pb | GGA-PBE | optimized geometry

The space group is P4/mmm (No. 123) and the conventional cell measures 4.665, 4.665 and 4.792 Å, with angles of 90.00, 90.00 and 90.00 degrees. The distinct sites, in fractional coordinates, are Li at (0.000, 0.000, 0.000), Sn at (0.000, 0.500, 0.500) and Pb at (0.500, 0.500, 0.000).

The calculation puts the energy at -14.16 eV for the cell shown. The value obtained for the magnetic moment is 0.00 μB/f.u.